a:
VBr3F: relaxed, PBE+U.

Lattice parameters (Å, degrees): 5.0796 5.0796 5.0796 90.00 90.00 90.00
Atoms (fractional coordinates):
V  0.0000  0.0000  0.0000
Br  0.0000  0.5000  0.0000
Br  0.0000  0.0000  0.5000
Br  0.5000  0.0000  0.0000
F  0.5000  0.5000  0.5000

Density (g/cm³): 3.92
Space-group type: No. 221
Crystal system: cubic

b:
VBr3F: relaxed, PBE+U.

Lattice parameters (Å, degrees): 4.9454 4.9454 4.9454 90.00 90.00 90.00
Atoms (fractional coordinates):
V  0.5000  0.5000  0.5000
Br  0.0000  0.5000  0.0000
Br  0.0000  0.0000  0.5000
Br  0.5000  0.0000  0.0000
F  0.0000  0.0000  0.0000

Density (g/cm³): 4.25
Space-group type: No. 221
Crystal system: cubic

Q: Which of them is the least stable? A: b.